Density functional theory data (PBE-GGA) for a geometry-optimized YCu2Pd structure.

The calculation puts the total energy at -5.2871 eV/atom. The formation energy comes out at -325 meV per atom. Its density of states at the Fermi level is 7.583 states/eV/cell. The total magnetization is 0.00 μB/f.u.

Cell lengths 6.473, 6.473, 6.473 Å; angles 90.00, 90.00, 90.00 degrees
Space group Fm-3m (No. 225)
Unique sites:
1 Y 0.000 0.000 0.000 x4
2 Cu 0.250 0.250 0.250 x8
3 Pd 0.000 0.000 0.500 x4